An optimized crystal structure of Er4ZrSc6, computed with PBE.

Cell lengths 8.414, 8.414, 8.197 Å; angles 90.00, 90.00, 90.00 degrees
Element x y z (fractional)
Er  0.149  0.351  0.250
Er  0.149  0.351  0.750
Er  0.351  0.851  0.250
Er  0.351  0.851  0.750
Er  0.649  0.149  0.250
Er  0.649  0.149  0.750
Er  0.851  0.649  0.250
Er  0.851  0.649  0.750
Zr  0.000  0.000  0.000
Zr  0.500  0.500  0.500
Sc  0.000  0.000  0.332
Sc  0.000  0.000  0.668
Sc  0.149  0.652  0.500
Sc  0.152  0.649  0.000
Sc  0.348  0.149  0.500
Sc  0.351  0.152  0.000
Sc  0.500  0.500  0.168
Sc  0.500  0.500  0.832
Sc  0.649  0.848  0.000
Sc  0.652  0.851  0.500
Sc  0.848  0.351  0.000
Sc  0.851  0.348  0.500

## Properties
total DFT energy (no corrections)	-5.765	eV/atom
ΔH_f (0 K)	124	meV/atom

=====

An optimized crystal structure of HfNiGe, computed with PBE.

Cell lengths 6.455, 3.894, 11.052 Å; angles 90.00, 90.04, 90.00 degrees
Element x y z (fractional)
Hf  0.016  0.250  0.299
Hf  0.336  0.750  0.925
Hf  0.482  0.750  0.626
Hf  0.518  0.250  0.374
Hf  0.664  0.250  0.075
Hf  0.984  0.750  0.701
Ni  0.004  0.250  0.910
Ni  0.143  0.250  0.542
Ni  0.355  0.750  0.207
Ni  0.645  0.250  0.793
Ni  0.857  0.750  0.458
Ni  0.996  0.750  0.090
Ge  0.235  0.750  0.423
Ge  0.236  0.250  0.091
Ge  0.272  0.250  0.752
Ge  0.728  0.750  0.248
Ge  0.764  0.750  0.909
Ge  0.765  0.250  0.577

## Properties
total DFT energy (no corrections)	-7.523	eV/atom
ΔH_f (0 K)	-739	meV/atom

=====

An optimized crystal structure of LiVIr, computed with PBE.

Cell lengths 6.062, 5.815, 4.264 Å; angles 72.09, 65.89, 42.02 degrees
Element x y z (fractional)
Li  0.163  0.837  0.163
Li  0.837  0.163  0.837
V  0.250  0.250  0.250
V  0.750  0.750  0.750
Ir  0.372  0.372  0.628
Ir  0.628  0.628  0.372

## Properties
total DFT energy (no corrections)	-6.775	eV/atom
ΔH_f (0 K)	-144	meV/atom
relative energy among the computed polymorphs	0.046	eV per atom

=====

An optimized crystal structure of SmPaTe6, computed with PBE.

Cell lengths 4.419, 13.365, 13.365 Å; angles 19.02, 90.00, 90.00 degrees
Element x y z (fractional)
Sm  0.000  0.000  0.000
Pa  0.500  0.340  0.340
Te  0.000  0.251  0.251
Te  0.000  0.592  0.592
Te  0.000  0.874  0.874
Te  0.500  0.092  0.092
Te  0.500  0.461  0.461
Te  0.500  0.751  0.751

## Properties
total DFT energy (no corrections)	-4.969	eV/atom
energy relative to the elements, uncorrected	-0.836	eV per atom

=====

no.,DOS at the Fermi energy (states/eV/atom)
1,1.326
2,0.304
3,0.682
4,0.727